No. 1
An optimized crystal structure of In2Si2Au. Source: Alexandria, functional GGA-PBE.

Cell and atoms, written as extended XYZ:
```
5
Lattice="-2.360 2.360 5.098 2.360 -2.360 5.098 2.360 2.360 -5.098" Properties=species:S:1:pos:R:3 pbc="T T T"
In 2.360 0.000 2.549
In 0.000 2.360 2.549
Si 0.000 0.000 1.136
Si 0.000 0.000 9.060
Au 0.000 0.000 5.098
```

Calculated values
- total magnetization (μB/f.u.) = 0.000
- E above lowest polymorph (eV/atom) = 0.2985

No. 2
An optimized crystal structure of Sc3AgN. Source: Alexandria, functional GGA-PBE.

Cell and atoms, written as extended XYZ:
```
10
Lattice="5.197 -2.257 0.000 5.197 2.257 0.000 -3.250 0.000 7.540" Properties=species:S:1:pos:R:3 pbc="T T T"
Sc 0.463 0.000 1.435
Sc -0.699 0.000 5.042
Sc 3.527 0.000 0.519
Sc 3.617 0.000 7.021
Sc 7.844 0.000 2.498
Sc 6.682 0.000 6.105
Ag 2.124 0.000 4.230
Ag 5.021 0.000 3.309
N -1.720 0.000 6.982
N 8.864 0.000 0.557
```

Calculated values
- total magnetization (μB/f.u.) = 1.003
- E above lowest polymorph (eV/atom) = 0.1094

No. 3
An optimized crystal structure of NaAgIO2. Source: Alexandria, functional GGA-PBE.

Cell and atoms, written as extended XYZ:
```
5
Lattice="4.247 0.000 0.000 0.000 4.247 0.000 0.000 0.000 5.816" Properties=species:S:1:pos:R:3 pbc="T T T"
Na 0.000 0.000 0.000
Ag 2.124 2.124 2.908
I 2.124 2.124 0.000
O 0.000 2.124 2.908
O 2.124 0.000 2.908
```

Calculated values
- total magnetization (μB/f.u.) = 1.377
- E above lowest polymorph (eV/atom) = 0.0000

No. 4
An optimized crystal structure of WSe2Cl. Source: Alexandria, functional GGA-PBE.

Cell and atoms, written as extended XYZ:
```
4
Lattice="3.923 0.000 0.000 0.000 3.923 0.000 0.000 0.000 5.003" Properties=species:S:1:pos:R:3 pbc="T T T"
W 0.000 0.000 0.000
Se 0.000 1.961 2.501
Se 1.961 0.000 2.501
Cl 1.961 1.961 0.000
```

Calculated values
- total magnetization (μB/f.u.) = 2.950
- E above lowest polymorph (eV/atom) = 1.3089

Repeat the first record exactly.
An optimized crystal structure of In2Si2Au. Source: Alexandria, functional GGA-PBE.

Cell and atoms, written as extended XYZ:
```
5
Lattice="-2.360 2.360 5.098 2.360 -2.360 5.098 2.360 2.360 -5.098" Properties=species:S:1:pos:R:3 pbc="T T T"
In 2.360 0.000 2.549
In 0.000 2.360 2.549
Si 0.000 0.000 1.136
Si 0.000 0.000 9.060
Au 0.000 0.000 5.098
```

Calculated values
- total magnetization (μB/f.u.) = 0.000
- E above lowest polymorph (eV/atom) = 0.2985

Question: Look up the E above lowest polymorph of the third one.
Answer: 0.0000 eV/atom

Question: What is the formula in the third record?
Answer: NaAgIO2

Question: E above lowest polymorph of number 4 (WSe2Cl)?
Answer: 1.3089 eV/atom